Entry 1:
Material: SrHfSbAs2
Method: DFT, GGA-PBE
State: relaxed

- Energy: -19.08 eV for the cell shown
- Total magnetic moment: 0.0 μB per cell

The structure in POSCAR format:
```
SrHfSbAs2
1.0
5.3118 0.0000 0.0000
0.0000 5.7621 0.0000
0.0000 0.0000 5.3118
Sb As Hf Sr
1 2 1 1
Cartesian
0.0000 2.8811 0.0000
0.0000 0.0000 2.6559
2.6559 0.0000 0.0000
2.6559 2.8811 2.6559
0.0000 0.0000 0.0000
```



Entry 2:
Material: MgF
Method: DFT, GGA-PBE
State: relaxed

- Energy: -30.40 eV for the cell shown
- Total magnetic moment: 0.0 μB per cell

The structure in POSCAR format:
```
MgF
1.0
-2.8016 2.0187 -3.6889
-2.3970 -4.4086 -0.5921
-3.4551 1.4216 3.4020
Mg F
4 4
Cartesian
0.0000 0.0000 0.0000
-2.9260 -1.4935 1.4049
-3.1283 1.7202 -0.1434
-2.5993 -1.1949 -2.1405
-2.1634 -0.2421 -0.2197
-5.0895 -1.7355 1.1852
-5.2918 1.4781 -0.3632
-4.7627 -1.4370 -2.3602
```